A crystal of AlCu2Ir relaxed with PBEsol. Source: Alexandria, functional meta-GGA SCAN.

Calculated volume, Å³/f.u.: 50.2
Electronic total energy, eV/atom: -27.765
ρ, g cm⁻³: 11.46
Space group: P4/mmm

Unit cell a=3.607 b=3.607 c=3.857 alpha=90.00 beta=90.00 gamma=90.00
Fractional positions:
Al: 0.000 0.000 0.000
Cu: 0.000 0.500 0.500
Cu: 0.500 0.000 0.500
Ir: 0.500 0.500 0.000

---

A crystal of Al2CuIr relaxed with PBEsol. Source: Alexandria, functional meta-GGA SCAN.

Calculated volume, Å³/f.u.: 53.1
Electronic total energy, eV/atom: -26.169
ρ, g cm⁻³: 9.69
Space group: I-4m2

Unit cell a=4.760 b=4.760 c=4.760 alpha=135.03 beta=135.03 gamma=65.49
Fractional positions:
Al: 0.000 0.000 0.000
Al: 0.750 0.250 0.500
Cu: 0.250 0.750 0.500
Ir: 0.500 0.500 0.000

---

A crystal of AlCuIr2Se relaxed with PBEsol. Source: Alexandria, functional meta-GGA SCAN.

Calculated volume, Å³/f.u.: 86.2
ρ, g cm⁻³: 10.68
Uncorrected formation energy, eV per atom: 1.14
Space group: P4/mmm

Unit cell a=4.537 b=4.537 c=4.186 alpha=90.00 beta=90.00 gamma=90.00
Fractional positions:
Al: 0.000 0.000 0.000
Cu: 0.000 0.000 0.500
Ir: 0.000 0.500 0.500
Ir: 0.500 0.000 0.500
Se: 0.500 0.500 0.000

---

A crystal of KAlCu2 relaxed with PBEsol. Source: Alexandria, functional meta-GGA SCAN.

Calculated volume, Å³/f.u.: 72.8
Electronic total energy, eV/atom: -10.873
ρ, g cm⁻³: 4.41
Space group: F-43m

Unit cell a=4.687 b=4.687 c=4.687 alpha=60.00 beta=60.00 gamma=60.00
Fractional positions:
K: 0.000 0.000 0.000
Al: 0.750 0.750 0.750
Cu: 0.250 0.250 0.250
Cu: 0.500 0.500 0.500

---

A crystal of KAl2Cu relaxed with PBEsol. Source: Alexandria, functional meta-GGA SCAN.

Calculated volume, Å³/f.u.: 76.0
Electronic total energy, eV/atom: -9.451
ρ, g cm⁻³: 3.42
Space group: R-3m

Unit cell a=10.007 b=10.007 c=10.007 alpha=17.15 beta=17.15 gamma=17.15
Fractional positions:
K: 0.000 0.000 0.000
Al: 0.232 0.232 0.232
Al: 0.768 0.768 0.768
Cu: 0.500 0.500 0.500

---

A crystal of KAl2ZnCu relaxed with PBEsol. Source: Alexandria, functional meta-GGA SCAN.

Calculated volume, Å³/f.u.: 126.2
Electronic total energy, eV/atom: -9.764
ρ, g cm⁻³: 2.92
Space group: P4/mmm

Unit cell a=4.685 b=4.685 c=5.751 alpha=90.00 beta=90.00 gamma=90.00
Fractional positions:
K: 0.000 0.000 0.000
Al: 0.000 0.500 0.500
Al: 0.500 0.000 0.500
Zn: 0.000 0.000 0.500
Cu: 0.500 0.500 0.000